(1)
DFT (GGA-PBE) results for Cr4TcPt after structural relaxation.

Cell lengths 6.7241, 6.7241, 6.7241 Å; angles 90.00, 90.00, 90.00 degrees
Space group F-43m (No. 216)
Asymmetric unit:
Cr: 0.1247 0.1247 0.1247
Tc: 0.2500 0.2500 0.7500
Pt: 0.0000 0.0000 0.5000



(2)
DFT (GGA-PBE) results for CrTcPt3 after structural relaxation.

Cell lengths 4.5671, 4.5671, 4.5671 Å; angles 90.00, 90.00, 90.00 degrees
Space group Pm-3m (No. 221)
Asymmetric unit:
Cr: 0.0000 0.0000 0.0000
Tc: 0.5000 0.5000 0.5000
Pt: 0.0000 0.0000 0.5000



(3)
DFT (GGA-PBE) results for CrTcPt after structural relaxation.

Cell lengths 3.1208, 3.1208, 8.8809 Å; angles 90.00, 90.00, 90.00 degrees
Space group I4mm (No. 107)
Asymmetric unit:
Cr: 0.0000 0.0000 0.0000
Tc: 0.0000 0.0000 0.3719
Pt: 0.0000 0.0000 0.6782



(4)
DFT (GGA-PBE) results for Cr3TcPt after structural relaxation.

Cell lengths 4.3684, 4.3684, 4.3684 Å; angles 90.00, 90.00, 90.00 degrees
Space group Pm-3m (No. 221)
Asymmetric unit:
Cr: 0.0000 0.0000 0.5000
Tc: 0.0000 0.0000 0.0000
Pt: 0.5000 0.5000 0.5000



(5)
DFT (GGA-PBE) results for CrTcPt14 after structural relaxation.

Cell lengths 5.5933, 5.5933, 7.8743 Å; angles 90.00, 90.00, 90.00 degrees
Space group P4/mmm (No. 123)
Asymmetric unit:
Cr: 0.0000 0.0000 0.0000
Tc: 0.5000 0.5000 0.0000
Pt: 0.0000 0.0000 0.5000
Pt: 0.0000 0.5000 0.0000
Pt: 0.0000 0.5000 0.5000
Pt: 0.2499 0.2499 0.2422
Pt: 0.5000 0.5000 0.5000



(6)
DFT (GGA-PBE) results for CrTcPt3 after structural relaxation.

Cell lengths 4.7593, 4.7593, 4.7593 Å; angles 90.00, 90.00, 90.00 degrees
Space group Pm-3m (No. 221)
Asymmetric unit:
Cr: 0.0000 0.0000 0.0000
Tc: 0.5000 0.5000 0.5000
Pt: 0.0000 0.5000 0.5000



(7)
DFT (GGA-PBE) results for CrTcPt after structural relaxation.

Cell lengths 2.6551, 3.8366, 8.2547 Å; angles 90.00, 90.00, 90.00 degrees
Space group Imm2 (No. 44)
Asymmetric unit:
Cr: 0.0000 0.0000 0.0000
Tc: 0.0000 0.0000 0.6505
Pt: 0.0000 0.0000 0.3284



(8)
DFT (GGA-PBE) results for CrTcPt after structural relaxation.

Cell lengths 2.7262, 2.7262, 6.5907 Å; angles 90.00, 90.00, 120.00 degrees
Space group P3m1 (No. 156)
Asymmetric unit:
Cr: 0.0000 0.0000 0.0000
Tc: 0.6667 0.3333 0.6906
Pt: 0.3333 0.6667 0.3277



Number 1: M_tot 0.000 μB/atom, uncorrected energy -0.678 Ry per atom. Number 2: M_tot 0.731 μB/atom, uncorrected energy -0.471 Ry per atom. Number 3: M_tot 0.330 μB/atom, uncorrected energy -0.632 Ry per atom. Number 4: M_tot 0.001 μB/atom, uncorrected energy -0.559 Ry per atom. Number 5: M_tot 0.135 μB/atom, uncorrected energy -0.489 Ry per atom. Number 6: M_tot 0.154 μB/atom, uncorrected energy -0.438 Ry per atom. Number 7: M_tot 0.000 μB/atom, uncorrected energy -0.640 Ry per atom. Number 8: M_tot 0.283 μB/atom, uncorrected energy -0.635 Ry per atom.